# PBE-GGA Li3NbF9, relaxed
data_Li3NbF9
_chemical_formula_sum 'Li12 Nb4 F36'
_cell_length_a 14.0720
_cell_length_b 8.1013
_cell_length_c 9.8600
_cell_angle_alpha 90.00
_cell_angle_beta 122.06
_cell_angle_gamma 90.00
_space_group_name_H-M_alt 'C 1 c 1'
_space_group_IT_number 9
loop_
_space_group_symop_operation_xyz
'x,y,z'
'x,-y,z+1/2'
'x+1/2,y+1/2,z'
'x+1/2,-y+1/2,z+1/2'
loop_
_atom_site_label
_atom_site_type_symbol
_atom_site_fract_x
_atom_site_fract_y
_atom_site_fract_z
_atom_site_occupancy
Li1 Li 0.0000 0.0151 0.0000 1
Li2 Li 0.0998 0.4068 0.9348 1
Li3 Li 0.4003 0.0960 0.5663 1
Nb1 Nb 0.2502 0.2494 0.7512 1
F1 F 0.0008 0.4965 0.2513 1
F2 F 0.0744 0.2017 0.9984 1
F3 F 0.1070 0.1356 0.6584 1
F4 F 0.1759 0.4378 0.6148 1
F5 F 0.2297 0.3432 0.9145 1
F6 F 0.2702 0.1558 0.5874 1
F7 F 0.3248 0.0614 0.8881 1
F8 F 0.3935 0.3624 0.8436 1
F9 F 0.4227 0.2999 0.4975 1
# - formation energy from raw total energies (kJ/mol of formula units) = -3403
# - energy (eV per atom) = -5.225
# - crystal system = monoclinic
# - V (Å³/cell) = 952.6
# - total moment (Bohr magnetons per cell) = 4.122
# - N(E_F) (states/eV/atom) = 0.57

# PBE-GGA LiNbF5, relaxed
data_LiNbF5
_chemical_formula_sum 'Li8 Nb8 F40'
_cell_length_a 10.7322
_cell_length_b 14.7594
_cell_length_c 5.3791
_cell_angle_alpha 90.00
_cell_angle_beta 103.86
_cell_angle_gamma 90.00
_space_group_name_H-M_alt 'C 1 2/m 1'
_space_group_IT_number 12
loop_
_space_group_symop_operation_xyz
'x,y,z'
'-x,-y,-z'
'-x,y,-z'
'x,-y,z'
'x+1/2,y+1/2,z'
'-x+1/2,-y+1/2,-z'
'-x+1/2,y+1/2,-z'
'x+1/2,-y+1/2,z'
loop_
_atom_site_label
_atom_site_type_symbol
_atom_site_fract_x
_atom_site_fract_y
_atom_site_fract_z
_atom_site_occupancy
Li1 Li 0.1742 0.1807 0.0543 1
Nb1 Nb 0.0000 0.2949 0.5000 1
Nb2 Nb 0.2245 0.5000 0.2902 1
F1 F 0.0901 0.2129 0.3114 1
F2 F 0.1032 0.3972 0.3746 1
F3 F 0.1186 0.5000 0.9495 1
F4 F 0.1473 0.2899 0.8258 1
F5 F 0.1616 0.0940 0.7967 1
F6 F 0.1936 0.0000 0.3498 1
# - formation energy from raw total energies (kJ/mol of formula units) = -1970
# - energy (eV per atom) = -5.966
# - crystal system = monoclinic
# - V (Å³/cell) = 827.2
# - offset from the most stable computed form (eV/atom) = 0.038
# - total moment (Bohr magnetons per cell) = 8.000
# - N(E_F) (states/eV/atom) = 0.40

# PBE-GGA LiNb3F, relaxed
data_LiNb3F
_chemical_formula_sum 'Li1 Nb3 F1'
_cell_length_a 4.3334
_cell_length_b 4.3334
_cell_length_c 4.3334
_cell_angle_alpha 90.00
_cell_angle_beta 90.00
_cell_angle_gamma 90.00
_space_group_name_H-M_alt 'P m -3 m'
_space_group_IT_number 221
_space_group_name_Hall '-P 4 2 3'
loop_
_atom_site_label
_atom_site_type_symbol
_atom_site_fract_x
_atom_site_fract_y
_atom_site_fract_z
_atom_site_occupancy
Li1 Li 0.0000 0.0000 0.0000 1
Nb1 Nb 0.0000 0.5000 0.5000 1
F1 F 0.5000 0.5000 0.5000 1
# - formation energy from raw total energies (kJ/mol of formula units) = 87
# - energy (eV per atom) = -6.618
# - crystal system = cubic
# - V (Å³/cell) = 81.4
# - offset from the most stable computed form (eV/atom) = 0.000
# - total moment (Bohr magnetons per cell) = 0.000
# - N(E_F) (states/eV/atom) = 1.03

# PBE-GGA Li3NbF, relaxed
data_Li3NbF
_chemical_formula_sum 'Li3 Nb1 F1'
_cell_length_a 4.2695
_cell_length_b 4.2695
_cell_length_c 4.2695
_cell_angle_alpha 90.00
_cell_angle_beta 90.00
_cell_angle_gamma 90.00
_space_group_name_H-M_alt 'P m -3 m'
_space_group_IT_number 221
_space_group_name_Hall '-P 4 2 3'
loop_
_atom_site_label
_atom_site_type_symbol
_atom_site_fract_x
_atom_site_fract_y
_atom_site_fract_z
_atom_site_occupancy
Li1 Li 0.0000 0.0000 0.5000 1
Nb1 Nb 0.5000 0.5000 0.5000 1
F1 F 0.0000 0.0000 0.0000 1
# - formation energy from raw total energies (kJ/mol of formula units) = -157
# - energy (eV per atom) = -3.862
# - crystal system = cubic
# - V (Å³/cell) = 77.8
# - offset from the most stable computed form (eV/atom) = 0.000
# - total moment (Bohr magnetons per cell) = 5.000
# - N(E_F) (states/eV/atom) = 0.52

# PBE-GGA Li2NbF, relaxed
data_Li2NbF
_chemical_formula_sum 'Li8 Nb4 F4'
_cell_length_a 5.6059
_cell_length_b 5.6059
_cell_length_c 7.7369
_cell_angle_alpha 90.00
_cell_angle_beta 90.00
_cell_angle_gamma 90.00
_space_group_name_H-M_alt 'I -4 2 d'
_space_group_IT_number 122
_space_group_name_Hall 'I -4 2bw'
loop_
_atom_site_label
_atom_site_type_symbol
_atom_site_fract_x
_atom_site_fract_y
_atom_site_fract_z
_atom_site_occupancy
Li1 Li 0.0687 0.2500 0.1250 1
Nb1 Nb 0.0000 0.0000 0.5000 1
F1 F 0.0000 0.0000 0.0000 1
# - formation energy from raw total energies (kJ/mol of formula units) = -185
# - energy (eV per atom) = -4.422
# - crystal system = tetragonal
# - V (Å³/cell) = 243.1
# - offset from the most stable computed form (eV/atom) = 0.000
# - total moment (Bohr magnetons per cell) = 3.885
# - N(E_F) (states/eV/atom) = 0.70

# PBE-GGA Li2NbF8, relaxed
data_Li2NbF8
_chemical_formula_sum 'Li4 Nb2 F16'
_cell_length_a 5.6107
_cell_length_b 5.6107
_cell_length_c 9.7584
_cell_angle_alpha 90.00
_cell_angle_beta 90.00
_cell_angle_gamma 90.00
_space_group_name_H-M_alt 'I 4 2 2'
_space_group_IT_number 97
_space_group_name_Hall 'I 4 2'
loop_
_atom_site_label
_atom_site_type_symbol
_atom_site_fract_x
_atom_site_fract_y
_atom_site_fract_z
_atom_site_occupancy
Li1 Li 0.0000 0.5000 0.2500 1
Nb1 Nb 0.0000 0.0000 0.0000 1
F1 F 0.1179 0.2774 0.8855 1
# - formation energy from raw total energies (kJ/mol of formula units) = -2844
# - energy (eV per atom) = -5.304
# - crystal system = tetragonal
# - V (Å³/cell) = 307.2
# - total moment (Bohr magnetons per cell) = 2.180
# - N(E_F) (states/eV/atom) = 0.68